Record 1
Computed, not measured: a relaxed HfMgCo2Rh crystal at the GGA-PBE level of DFT.

Calculated values
- E_form (meV/atom) = 1466

abc: 4.363 4.363 5.208
angles: 90.00 90.00 90.00
Fractional coordinates of all 5 atoms:
Hf 0.000 0.000 0.000
Mg 0.000 0.000 0.500
Co 0.000 0.500 0.000
Co 0.500 0.000 0.000
Rh 0.500 0.500 0.500


Record 2
Computed, not measured: a relaxed HfMgTiCo2 crystal at the GGA-PBE level of DFT.

Calculated values
- E_form (meV/atom) = 1071

abc: 4.304 4.304 4.573
angles: 90.00 90.00 90.00
Fractional coordinates of all 5 atoms:
Hf 0.000 0.000 0.000
Mg 0.500 0.500 0.500
Ti 0.500 0.500 0.000
Co 0.000 0.500 0.500
Co 0.500 0.000 0.500


Record 3
Computed, not measured: a relaxed Hf2MgCoW crystal at the GGA-PBE level of DFT.

Calculated values
- E_form (meV/atom) = 959

abc: 5.068 5.068 4.486
angles: 90.00 90.00 90.00
Fractional coordinates of all 5 atoms:
Hf 0.000 0.500 0.000
Hf 0.500 0.000 0.000
Mg 0.000 0.000 0.500
Co 0.500 0.500 0.500
W 0.500 0.500 0.000


Record 4
Computed, not measured: a relaxed HfMgZnCo2 crystal at the GGA-PBE level of DFT.

Calculated values
- E_form (meV/atom) = 1410

abc: 4.317 4.317 4.940
angles: 90.00 90.00 90.00
Fractional coordinates of all 5 atoms:
Hf 0.000 0.000 0.000
Mg 0.000 0.000 0.500
Zn 0.500 0.500 0.000
Co 0.000 0.500 0.500
Co 0.500 0.000 0.500


Record 5
Computed, not measured: a relaxed HfMn2Co9 crystal at the GGA-PBE level of DFT.

Calculated values
- E_form (meV/atom) = -39

abc: 8.206 8.206 8.206
angles: 33.55 33.55 33.55
Fractional coordinates of all 12 atoms:
Hf 0.000 0.000 0.000
Mn 0.144 0.144 0.144
Mn 0.856 0.856 0.856
Co 0.078 0.590 0.590
Co 0.336 0.336 0.336
Co 0.410 0.410 0.922
Co 0.410 0.922 0.410
Co 0.500 0.500 0.500
Co 0.590 0.078 0.590
Co 0.590 0.590 0.078
Co 0.664 0.664 0.664
Co 0.922 0.410 0.410


Record 6
Computed, not measured: a relaxed Hf8MnCo2 crystal at the GGA-PBE level of DFT.

Calculated values
- E_form (meV/atom) = -149

abc: 7.977 7.977 6.047
angles: 100.28 100.28 33.47
Fractional coordinates of all 11 atoms:
Hf 0.033 0.033 0.261
Hf 0.194 0.194 0.824
Hf 0.333 0.333 0.535
Hf 0.411 0.411 0.053
Hf 0.589 0.589 0.947
Hf 0.667 0.667 0.465
Hf 0.806 0.806 0.176
Hf 0.967 0.967 0.739
Mn 0.500 0.500 0.500
Co 0.204 0.204 0.230
Co 0.796 0.796 0.770


Record 7
Computed, not measured: a relaxed HfMn5Co crystal at the GGA-PBE level of DFT.

Calculated values
- E_form (meV/atom) = -41

abc: 7.826 4.684 9.658
angles: 90.00 90.00 90.00
Fractional coordinates of all 28 atoms:
Hf 0.248 0.250 0.067
Hf 0.252 0.750 0.567
Hf 0.748 0.250 0.433
Hf 0.752 0.750 0.933
Mn 0.050 0.750 0.087
Mn 0.078 0.015 0.309
Mn 0.078 0.485 0.309
Mn 0.085 0.250 0.529
Mn 0.187 0.250 0.758
Mn 0.313 0.750 0.258
Mn 0.415 0.750 0.029
Mn 0.422 0.515 0.809
Mn 0.422 0.985 0.809
Mn 0.450 0.250 0.587
Mn 0.550 0.750 0.413
Mn 0.578 0.015 0.191
Mn 0.578 0.485 0.191
Mn 0.585 0.250 0.971
Mn 0.687 0.250 0.742
Mn 0.813 0.750 0.242
Mn 0.915 0.750 0.471
Mn 0.922 0.515 0.691
Mn 0.922 0.985 0.691
Mn 0.950 0.250 0.913
Co 0.134 0.750 0.853
Co 0.366 0.250 0.353
Co 0.634 0.750 0.647
Co 0.866 0.250 0.147


Record 8
Computed, not measured: a relaxed Hf4MnCo3 crystal at the GGA-PBE level of DFT.

Calculated values
- E_form (meV/atom) = -349

abc: 3.156 4.467 8.915
angles: 90.00 90.00 90.00
Fractional coordinates of all 8 atoms:
Hf 0.000 0.000 0.000
Hf 0.000 0.000 0.500
Hf 0.000 0.500 0.246
Hf 0.000 0.500 0.754
Mn 0.500 0.500 0.000
Co 0.500 0.000 0.251
Co 0.500 0.000 0.749
Co 0.500 0.500 0.500


Record 9
Computed, not measured: a relaxed Hf2MnCo crystal at the GGA-PBE level of DFT.

Calculated values
- E_form (meV/atom) = 290

abc: 6.949 6.949 5.721
angles: 90.00 90.00 90.00
Fractional coordinates of all 16 atoms:
Hf 0.229 0.750 0.125
Hf 0.250 0.229 0.875
Hf 0.250 0.271 0.375
Hf 0.271 0.750 0.625
Hf 0.729 0.250 0.625
Hf 0.750 0.729 0.375
Hf 0.750 0.771 0.875
Hf 0.771 0.250 0.125
Mn 0.000 0.000 0.500
Mn 0.000 0.500 0.750
Mn 0.500 0.000 0.250
Mn 0.500 0.500 0.000
Co 0.000 0.000 0.000
Co 0.000 0.500 0.250
Co 0.500 0.000 0.750
Co 0.500 0.500 0.500


Record 10
Computed, not measured: a relaxed Hf2MnCo crystal at the GGA-PBE level of DFT.

Calculated values
- E_form (meV/atom) = -320

abc: 3.157 3.157 6.245
angles: 90.00 90.00 90.00
Fractional coordinates of all 4 atoms:
Hf 0.000 0.000 0.247
Hf 0.000 0.000 0.753
Mn 0.500 0.500 0.000
Co 0.500 0.500 0.500


Record 11
Computed, not measured: a relaxed Hf2MnCo crystal at the GGA-PBE level of DFT.

Calculated values
- E_form (meV/atom) = 316

abc: 3.293 3.305 13.765
angles: 90.00 90.00 90.00
Fractional coordinates of all 8 atoms:
Hf 0.000 0.000 0.176
Hf 0.000 0.000 0.824
Hf 0.500 0.500 0.324
Hf 0.500 0.500 0.676
Mn 0.000 0.000 0.500
Mn 0.500 0.500 0.000
Co 0.000 0.000 0.000
Co 0.500 0.500 0.500


Record 12
Computed, not measured: a relaxed HfMn3Co crystal at the GGA-PBE level of DFT.

Calculated values
- distance to the lowest polymorph of the same formula (eV/atom) = 0.925
- E_form (meV/atom) = 1818

abc: 4.643 4.643 4.643
angles: 90.00 90.00 90.00
Fractional coordinates of all 5 atoms:
Hf 0.000 0.000 0.000
Mn 0.000 0.000 0.500
Mn 0.000 0.500 0.000
Mn 0.500 0.000 0.000
Co 0.500 0.500 0.500